Run a
An optimized crystal structure of Li3Mn3CoO8, computed with GGA+U.

Unit cell a=5.7296 b=5.7296 c=14.5985 alpha=90.00 beta=90.00 gamma=120.00
Space group R-3m (No. 166, hexagonal axes)
Asymmetric unit:
Li1 0.0000 0.5000 0.0000
Mn1 0.0000 0.5000 0.5000
Co1 0.0000 0.0000 0.5000
O1 0.0000 0.0000 0.2412
O2 0.0059 0.5030 0.2381

Summary:
Crystal system ... trigonal
Magnetization ... 7.0 μB per formula unit

---

Run b
An optimized crystal structure of Li3Mn3CoO8, computed with GGA+U.

Unit cell a=5.774 b=10.311 c=9.512 alpha=90.00 beta=90.00 gamma=90.00
Space group Cmc2_1 (No. 36)
Asymmetric unit:
Li1 0.000 0.183 0.000
Li2 0.239 0.418 0.003
Mn1 0.000 0.166 0.275
Mn2 0.249 0.415 0.273
Co1 0.000 0.334 0.557
O1 0.000 0.019 0.888
O2 0.000 0.157 0.657
O3 0.000 0.348 0.154
O4 0.000 0.481 0.394
O5 0.228 0.258 0.394
O6 0.238 0.074 0.164

Summary:
Crystal system ... orthorhombic
Magnetization ... 13.0 μB per formula unit

---

The winner here is run b, beating the second structure by 0.101 eV/atom.

---

Run a
An optimized crystal structure of Li3Mn3CoO8, computed with GGA+U.

Unit cell a=5.781 b=5.811 c=10.255 alpha=74.65 beta=74.59 gamma=60.69
Space group P-1 (No. 2)
Asymmetric unit:
Li1 0.227 0.263 0.253
Li2 0.234 0.769 0.248
Li3 0.262 0.234 0.752
Mn1 0.000 0.000 0.000
Mn2 0.000 0.000 0.500
Mn3 0.000 0.500 0.000
Mn4 0.500 0.000 0.500
Mn5 0.500 0.500 0.000
Mn6 0.500 0.500 0.500
Co1 0.000 0.500 0.500
Co2 0.500 0.000 0.000
O1 0.098 0.652 0.118
O2 0.132 0.633 0.603
O3 0.136 0.142 0.605
O4 0.141 0.123 0.106
O5 0.362 0.365 0.396
O6 0.362 0.901 0.381
O7 0.364 0.871 0.896
O8 0.370 0.360 0.897

Summary:
Crystal system ... triclinic
Magnetization ... 9.0 μB per formula unit

---

Run b
An optimized crystal structure of Li3Mn3CoO8, computed with GGA+U.

Unit cell a=10.232 b=6.012 c=9.971 alpha=90.00 beta=106.43 gamma=90.00
Space group Cc (No. 9)
Asymmetric unit:
Li1 0.000 0.025 0.000
Li2 0.489 0.034 0.966
Li3 0.491 0.255 0.232
Mn1 0.241 0.007 0.735
Mn2 0.246 0.239 0.486
Mn3 0.246 0.493 0.235
Co1 0.244 0.255 0.985
O1 0.128 0.228 0.609
O2 0.131 0.038 0.861
O3 0.142 0.242 0.123
O4 0.145 0.497 0.376
O5 0.346 0.013 0.098
O6 0.346 0.252 0.847
O7 0.355 0.475 0.106
O8 0.359 0.211 0.359

Summary:
Crystal system ... monoclinic
Magnetization ... 11.0 μB per formula unit

---

The winner here is run b, beating the second structure by 0.060 eV/atom.